(1)
DFT (GGA-PBEsol) results for crystalline KMo2Se at its relaxed geometry.

a = 10.1014 Å, b = 10.1014 Å, c = 10.1014 Å
α = 16.92°, β = 16.92°, γ = 16.92°
Fractional coordinates of all 4 atoms:
K 0.0000 0.0000 0.0000
Mo 0.2310 0.2310 0.2310
Mo 0.7690 0.7690 0.7690
Se 0.5000 0.5000 0.5000

Properties
Offset from the most stable computed form   0.000 eV per atom
Space-group type   R-3m

=====

(2)
DFT (GGA-PBEsol) results for crystalline KMo2Se at its relaxed geometry.

a = 4.6117 Å, b = 4.6117 Å, c = 4.6117 Å
α = 60.00°, β = 60.00°, γ = 60.00°
Fractional coordinates of all 4 atoms:
K 0.0000 0.0000 0.0000
Mo 0.5000 0.5000 0.5000
Mo 0.7500 0.7500 0.7500
Se 0.2500 0.2500 0.2500

Properties
Offset from the most stable computed form   0.206 eV per atom
Space-group type   F-43m

=====

(3)
DFT (GGA-PBEsol) results for crystalline KMoSe at its relaxed geometry.

a = 6.8410 Å, b = 6.8410 Å, c = 6.8410 Å
α = 152.72°, β = 152.72°, γ = 38.96°
Fractional coordinates of all 3 atoms:
K 0.0000 0.0000 0.0000
Mo 0.2822 0.2822 0.0000
Se 0.6967 0.6967 0.0000

Properties
Uncorrected energy   -5.409 eV/atom
Space-group type   I4mm

=====

no.,magnetization (μB per formula unit),density (Mg/m³),calculated volume (Å³/cell)
1,0.0,6.759,76.1
2,0.0,7.421,69.4
3,0.0,5.294,67.1